[1]
14
Lattice="-2.385 -7.597 1.222 5.976 1.459 5.203 -6.105 5.126 1.161" Properties=species:S:1:pos:R:3 comment="La4Ge2Pt, optimized geometry, DFT PBE" magmom_total_mub_per_fu=0.00 sg="No. 122" delta_e_f_ev_per_fu=-6.02 dos_at_fermi_per_ev_cell=11.9 pbc="T T T"
La -0.840 2.247 1.734
La 0.517 -0.826 3.378
La -2.118 -2.501 5.058
La -5.650 -1.636 2.474
La 3.582 -0.131 5.903
La -4.383 2.127 1.788
La -2.023 1.821 5.562
La 0.860 -5.145 4.443
Ge -2.862 -0.074 3.314
Ge 1.246 -2.472 5.877
Ge -0.761 -3.670 2.279
Ge -2.650 4.194 3.700
Pt 0.834 1.757 4.790
Pt -2.513 -1.011 7.585

[2]
8
Lattice="-0.232 4.689 -3.903 3.073 -3.285 -4.129 -3.752 -1.379 -6.209" Properties=species:S:1:pos:R:3 comment="TiTe2Ru, optimized geometry, DFT PBE" de_polymorph_mev_per_atom=163.6 magmom_total_mub_per_fu=0.00 sg="No. 122" e_form_raw_ev_per_atom=0.13 dos_at_fermi_per_ev_cell=6.9 pbc="T T T"
Ru 0.000 0.000 0.000
Ru -1.282 2.006 -7.064
Te -0.703 2.255 -4.574
Te 0.957 -1.891 -4.554
Te -1.801 -0.452 -7.599
Te -0.276 0.139 -11.755
Ti 1.420 0.702 -4.016
Ti 0.371 -1.981 -7.177

[3]
5
Lattice="5.538 0.000 0.000 0.000 5.538 0.000 0.000 0.000 5.538" Properties=species:S:1:pos:R:3 comment="SrCa3F, optimized geometry, DFT PBE" de_polymorph_mev_per_atom=0.0 magmom_total_mub_per_fu=0.00 sg="No. 221" e_form_raw_ev_per_atom=-0.95 dos_at_fermi_per_ev_cell=2.9 pbc="T T T"
Sr 2.769 2.769 2.769
Ca 0.000 2.769 0.000
Ca 0.000 0.000 2.769
Ca 2.769 0.000 0.000
F 0.000 0.000 0.000

[4]
10
Lattice="3.027 0.000 0.000 0.000 3.027 0.000 0.000 0.000 15.188" Properties=species:S:1:pos:R:3 comment="Ti5Ni4Rh, optimized geometry, DFT PBE" magmom_total_mub_per_fu=0.00 sg="No. 123" delta_e_f_ev_per_fu=-4.32 dos_at_fermi_per_ev_cell=12.8 pbc="T T T"
Ti 1.514 1.514 1.636
Ti 1.514 1.514 4.615
Ti 1.514 1.514 7.594
Ti 1.514 1.514 10.573
Ti 1.514 1.514 13.551
Ni 0.000 0.000 3.114
Ni 0.000 0.000 6.115
Ni 0.000 0.000 9.073
Ni 0.000 0.000 12.074
Rh 0.000 0.000 0.000

[5]
14
Lattice="6.625 0.000 0.000 3.313 5.738 0.000 3.313 1.913 5.331" Properties=species:S:1:pos:R:3 comment="PmMgIn4O8, optimized geometry, DFT PBE" magmom_total_mub_per_fu=0.00 sg="No. 160" e_form_raw_ev_per_atom=-1.96 dos_at_fermi_per_ev_cell=1.4 pbc="T T T"
Pm 6.625 3.825 4.616
Mg 3.313 1.913 5.310
In 6.625 3.825 0.717
In 9.938 3.832 2.664
In 8.288 6.691 2.664
In 11.589 6.691 2.664
O 6.625 5.967 3.949
O 8.480 2.754 3.949
O 4.770 2.754 3.949
O 3.313 1.913 1.529
O 6.625 1.724 1.372
O 4.805 4.876 1.372
O 8.446 4.876 1.372
O 9.938 5.738 3.857